[1]
Entry from Alexandria via LeMat-Bulk: a crystal of Ca2TaRe relaxed with PBEsol (SCAN).

Summary:
E_form, eV per atom: 0.50
Symmetry: Cm, No. 8

POSCAR file:
```
Ca2TaRe
1.0
-2.136 0.700 -2.209
0.120 -4.453 0.722
-5.132 1.277 5.369
Re Ca Ta
1 2 1
direct
0.491 0.982 0.439 Re
0.010 0.021 0.061 Ca
0.232 0.465 0.683 Ca
0.766 0.532 0.317 Ta
```

[2]
Entry from Alexandria via LeMat-Bulk: a crystal of Sc2Ge2O7 relaxed with PBEsol (SCAN).

Summary:
Uncorrected formation energy, kJ/mol of formula units: -2955
Symmetry: Fd-3m, No. 227

POSCAR file:
```
Sc2Ge2O7
1.0
-3.428 -2.558 5.283
2.014 -5.829 2.857
2.787 0.038 6.199
Sc Ge O
4 4 14
direct
0.625 0.125 0.125 Sc
0.125 0.125 0.125 Sc
0.125 0.125 0.625 Sc
0.125 0.625 0.125 Sc
0.625 0.625 0.125 Ge
0.625 0.125 0.625 Ge
0.625 0.625 0.625 Ge
0.125 0.625 0.625 Ge
0.250 0.250 0.250 O
0.708 0.292 0.292 O
0.292 0.708 0.292 O
0.708 0.708 0.292 O
0.708 0.292 0.708 O
0.292 0.292 0.708 O
0.958 0.542 0.542 O
0.292 0.708 0.708 O
0.958 0.542 0.958 O
0.958 0.958 0.542 O
0.542 0.542 0.958 O
0.542 0.958 0.542 O
0.542 0.958 0.958 O
0.000 0.000 0.000 O
```

[3]
Entry from Alexandria via LeMat-Bulk: a crystal of Li2MnBe relaxed with PBEsol (SCAN).

Summary:
E_form, eV per atom: 0.25
Symmetry: Cmm2, No. 35

POSCAR file:
```
Li2MnBe
1.0
2.341 0.005 0.000
-0.450 2.297 0.000
0.000 0.000 8.459
Be Mn Li
1 1 2
direct
0.500 0.500 0.271 Be
0.000 0.000 0.475 Mn
0.000 0.000 0.027 Li
0.500 0.500 0.726 Li
```

[4]
Entry from Alexandria via LeMat-Bulk: a crystal of K2HgRh relaxed with PBEsol (SCAN).

Summary:
E_form, eV per atom: 0.15
Symmetry: Pmm2, No. 25

POSCAR file:
```
K2HgRh
1.0
3.443 0.000 0.000
0.000 3.943 0.000
0.000 0.000 9.607
Hg K Rh
1 2 1
direct
0.500 0.500 0.342 Hg
0.000 0.000 0.089 K
0.500 0.500 0.664 K
0.000 0.000 0.404 Rh
```

[5]
Entry from Alexandria via LeMat-Bulk: a crystal of MgSeO4 relaxed with PBEsol (SCAN).

Summary:
Uncorrected formation energy, kJ/mol of formula units: -926
Symmetry: Cmcm, No. 63

POSCAR file:
```
MgSeO4
1.0
4.934 -0.011 0.000
-1.918 4.546 0.000
0.000 0.000 6.545
Mg O Se
2 8 2
direct
0.000 0.000 0.000 Mg
0.000 0.000 0.500 Mg
0.245 0.755 0.039 O
0.755 0.245 0.539 O
0.245 0.755 0.461 O
0.755 0.245 0.961 O
0.223 0.278 0.250 O
0.777 0.722 0.750 O
0.722 0.777 0.250 O
0.278 0.223 0.750 O
0.352 0.648 0.250 Se
0.648 0.352 0.750 Se
```

[6]
Entry from Alexandria via LeMat-Bulk: a crystal of HgAs2 relaxed with PBEsol (SCAN).

Summary:
E_form, eV per atom: 0.04
Symmetry: C2/m, No. 12

POSCAR file:
```
HgAs2
1.0
3.743 0.000 0.000
-1.872 3.233 0.268
0.000 -0.991 10.979
As Hg
4 2
direct
0.998 0.996 0.786 As
0.667 0.333 0.091 As
0.333 0.667 0.909 As
0.002 0.004 0.214 As
0.334 0.667 0.406 Hg
0.666 0.333 0.594 Hg
```

[7]
Entry from Alexandria via LeMat-Bulk: a crystal of LaTlCr4 relaxed with PBEsol (SCAN).

Summary:
E_form, eV per atom: 0.72
Symmetry: F-43m, No. 216

POSCAR file:
```
LaTlCr4
1.0
5.142 0.000 0.000
2.571 4.453 0.000
2.571 1.484 4.198
Cr La Tl
4 1 1
direct
0.379 0.379 0.379 Cr
0.379 0.379 0.863 Cr
0.863 0.379 0.379 Cr
0.379 0.863 0.379 Cr
0.750 0.750 0.750 La
0.000 0.000 0.000 Tl
```

[8]
Entry from Alexandria via LeMat-Bulk: a crystal of ZnSiSb2 relaxed with PBEsol (SCAN).

Summary:
Uncorrected formation energy, kJ/mol of formula units: 190
Symmetry: P4/mmm, No. 123

POSCAR file:
```
ZnSiSb2
1.0
3.467 0.000 0.000
0.000 4.873 0.059
0.000 -0.062 4.873
Sb Si Zn
2 1 1
direct
0.000 0.500 0.000 Sb
0.000 0.000 0.500 Sb
0.500 0.000 0.000 Si
0.500 0.500 0.500 Zn
```

[9]
Entry from Alexandria via LeMat-Bulk: a crystal of K2NaNb3O9 relaxed with PBEsol (SCAN).

Summary:
Uncorrected formation energy, kJ/mol of formula units: -3837
Symmetry: Pm, No. 6

POSCAR file:
```
K2NaNb3O9
1.0
3.978 0.000 0.000
0.000 8.058 -0.012
0.000 -3.950 12.144
K Na Nb O
4 2 6 18
direct
0.000 0.512 0.505 K
0.000 0.345 0.170 K
0.000 0.011 0.504 K
0.000 0.679 0.837 K
0.000 0.199 0.851 Na
0.000 0.866 0.183 Na
0.500 0.351 0.676 Nb
0.500 0.018 0.008 Nb
0.500 0.686 0.340 Nb
0.500 0.854 0.676 Nb
0.500 0.520 0.009 Nb
0.500 0.185 0.341 Nb
0.500 0.752 0.497 O
0.500 0.411 0.832 O
0.500 0.079 0.164 O
0.500 0.084 0.664 O
0.500 0.750 0.997 O
0.500 0.416 0.330 O
0.000 0.831 0.664 O
0.000 0.493 0.994 O
0.000 0.160 0.327 O
0.500 0.921 0.832 O
0.500 0.586 0.164 O
0.500 0.251 0.497 O
0.500 0.584 0.667 O
0.500 0.250 0.998 O
0.500 0.916 0.328 O
0.000 0.999 0.997 O
0.000 0.667 0.328 O
0.000 0.330 0.665 O
```

[10]
Entry from Alexandria via LeMat-Bulk: a crystal of Ca2CuAg relaxed with PBEsol (SCAN).

Summary:
E_form, eV per atom: -0.22
Symmetry: Amm2, No. 38

POSCAR file:
```
Ca2CuAg
1.0
-2.853 -2.794 0.682
-0.076 -0.969 -4.288
5.301 -2.369 0.441
Ca Ag Cu
2 1 1
direct
0.109 0.000 0.217 Ca
0.393 0.500 0.786 Ca
0.684 0.500 0.369 Ag
0.818 0.000 0.637 Cu
```

[11]
Entry from Alexandria via LeMat-Bulk: a crystal of CdAg2SnSe4 relaxed with PBEsol (SCAN).

Summary:
Uncorrected formation energy, kJ/mol of formula units: -237
Symmetry: Pm, No. 6

POSCAR file:
```
CdAg2SnSe4
1.0
-2.194 -3.610 0.127
0.583 -0.111 6.948
-6.279 3.839 0.631
Se Sn Ag Cd
4 1 2 1
direct
0.500 0.496 0.342 Se
0.000 0.505 0.838 Se
0.500 0.991 0.653 Se
0.000 0.003 0.168 Se
0.000 0.367 0.157 Sn
0.500 0.869 0.327 Ag
0.500 0.356 0.687 Ag
0.000 0.892 0.828 Cd
```

[12]
Entry from Alexandria via LeMat-Bulk: a crystal of LiV3P5O19 relaxed with PBEsol (SCAN).

Summary:
Uncorrected formation energy, kJ/mol of formula units: -6733
Symmetry: Cm, No. 8

POSCAR file:
```
LiV3P5O19
1.0
-2.891 -5.536 0.804
4.426 -1.802 -6.914
4.686 0.079 6.977
Li V P O
1 3 5 19
direct
0.706 0.996 0.996 Li
0.850 0.760 0.760 V
0.170 0.249 0.492 V
0.170 0.492 0.249 V
0.305 0.676 0.676 P
0.718 0.316 0.606 P
0.718 0.606 0.316 P
0.993 0.190 0.820 P
0.993 0.820 0.190 P
0.152 0.779 0.779 O
0.543 0.782 0.782 O
0.098 0.336 0.006 O
0.098 0.006 0.336 O
0.262 0.488 0.670 O
0.262 0.670 0.488 O
0.777 0.711 0.519 O
0.777 0.519 0.711 O
0.139 0.174 0.691 O
0.139 0.691 0.174 O
0.771 0.753 0.242 O
0.771 0.242 0.753 O
0.475 0.238 0.519 O
0.475 0.519 0.238 O
0.174 0.327 0.327 O
0.899 0.836 0.019 O
0.899 0.019 0.836 O
0.859 0.252 0.473 O
0.859 0.473 0.252 O
```